No. 1
DFT (PBE-GGA) results for crystalline Er3ThHg4 at its relaxed geometry.

Summary:
SG: P4/mmm
E: -3.1778 eV/atom
calculated formation energy: -388 meV per atom
V: 208 Å³/f.u.

abc: 5.2271 7.6040 10.4502
angles: 90.00 90.00 90.00
Site moments in Bohr magnetons follow the coordinates.
Fractional positions:
Hg (0.5000, 0.7639, 0.0000)  0.01
Hg (0.5000, 0.7639, 0.5000)  0.01
Hg (0.5000, 0.2361, 0.0000)  0.01
Hg (0.5000, 0.2361, 0.5000)  0.01
Hg (0.9999, 0.7639, 0.7500)  0.01
Hg (0.0001, 0.7639, 0.2500)  0.01
Hg (0.0001, 0.2361, 0.2500)  0.01
Hg (0.9999, 0.2361, 0.7500)  0.01
Th (0.0000, 0.5000, 0.0000)  0.26
Th (0.0000, 0.5000, 0.5000)  0.26
Er (0.0000, 0.0000, 0.0000)  0.14
Er (0.0000, 0.0000, 0.5000)  0.14
Er (0.5000, 0.0000, 0.7500)  0.07
Er (0.5000, 0.0000, 0.2500)  0.07
Er (0.5000, 0.5000, 0.7500)  0.27
Er (0.5000, 0.5000, 0.2500)  0.27

---

No. 2
DFT (PBE-GGA) results for crystalline Er2ThHg5 at its relaxed geometry.

Summary:
SG: I4/mmm
E: -2.6062 eV/atom
calculated formation energy: -349 meV per atom
V: 201 Å³/f.u.

abc: 5.2479 5.2479 8.1951
angles: 108.67 108.67 90.00
Fractional positions:
Er (0.7338, 0.7338, 0.4675)
Er (0.2662, 0.2662, 0.5325)
Th (0.0000, 0.0000, 0.0000)
Hg (0.5000, 0.5000, 0.0000)
Hg (0.8704, 0.3704, 0.7409)
Hg (0.3704, 0.8704, 0.7409)
Hg (0.1296, 0.6296, 0.2591)
Hg (0.6296, 0.1296, 0.2591)

---

No. 3
DFT (PBE-GGA) results for crystalline ErThHg at its relaxed geometry.

Summary:
SG: I4mm
E: -4.3214 eV/atom
polymorph energy (0 for the lowest one): 0.0 meV per atom
calculated formation energy: -227 meV per atom
V: 86 Å³/f.u.

abc: 3.6031 3.6031 7.0782
angles: 104.75 104.75 90.00
Fractional positions:
Hg (0.6777, 0.6777, 0.3554)
Th (0.0046, 0.0046, 0.0091)
Er (0.3177, 0.3177, 0.6354)

---

No. 4
DFT (PBE-GGA) results for crystalline Er5ThHg4 at its relaxed geometry.

Summary:
SG: P4/mmm
E: -3.5319 eV/atom
calculated formation energy: -388 meV per atom
V: 262 Å³/f.u.

abc: 3.6554 3.6554 19.6354
angles: 90.00 90.00 90.00
Fractional positions:
Er (0.5000, 0.5000, 0.1192)
Er (0.5000, 0.5000, 0.3108)
Er (0.5000, 0.5000, 0.5000)
Er (0.5000, 0.5000, 0.6892)
Er (0.5000, 0.5000, 0.8808)
Th (0.0000, 0.0000, 0.0000)
Hg (0.0000, 0.0000, 0.2143)
Hg (0.0000, 0.0000, 0.4045)
Hg (0.0000, 0.0000, 0.5955)
Hg (0.0000, 0.0000, 0.7857)

---

No. 5
DFT (PBE-GGA) results for crystalline Er2ThHg3 at its relaxed geometry.

Summary:
SG: P4/mmm
E: -3.2938 eV/atom
calculated formation energy: -385 meV per atom
V: 156 Å³/f.u.

abc: 3.6493 3.6493 11.6979
angles: 90.00 90.00 90.00
Fractional positions:
Er (0.5000, 0.5000, 0.8406)
Er (0.5000, 0.5000, 0.1594)
Th (0.5000, 0.5000, 0.5000)
Hg (0.0000, 0.0000, 0.0000)
Hg (0.0000, 0.0000, 0.6858)
Hg (0.0000, 0.0000, 0.3142)

---

No. 6
DFT (PBE-GGA) results for crystalline Er2ThHg6 at its relaxed geometry.

Summary:
SG: P6/mmm
E: -2.3649 eV/atom
calculated formation energy: -325 meV per atom
V: 220 Å³/f.u.

abc: 3.3941 8.6590 8.6590
angles: 120.00 90.00 90.00
Fractional positions:
Er (0.0000, 0.3333, 0.6667)
Er (0.0000, 0.6667, 0.3333)
Th (0.0000, 0.0000, 0.0000)
Hg (0.5000, 0.3369, 0.3369)
Hg (0.5000, 0.6631, 0.6631)
Hg (0.5000, 0.0000, 0.6631)
Hg (0.5000, 0.6631, 0.0000)
Hg (0.5000, 0.3369, 0.0000)
Hg (0.5000, 0.0000, 0.3369)